# 1
This record from the Alexandria database describes an optimized crystal structure of NdInAg2S4. The functional is PBE.

Cell: 7.891 7.891 7.891 Å, 121.63 115.27 92.79°
Fractional positions:
Nd (0.000, 0.000, 0.000)
Nd (0.500, 0.000, 0.500)
In (0.500, 0.000, 0.000)
In (0.500, 0.500, 0.500)
Ag (0.000, 0.000, 0.500)
Ag (0.000, 0.500, 0.000)
Ag (0.000, 0.500, 0.500)
Ag (0.500, 0.500, 0.000)
S (0.236, 0.234, 0.498)
S (0.236, 0.739, 0.002)
S (0.278, 0.741, 0.537)
S (0.296, 0.259, 0.037)
S (0.704, 0.741, 0.963)
S (0.722, 0.259, 0.463)
S (0.764, 0.261, 0.998)
S (0.764, 0.766, 0.502)

Summary:
formation energy (no corrections)	-0.77	eV/atom
calculated volume	22.1	Å³ per atom
symmetry	No. 74
size of the total moment	0.000	μB per atom
crystal system	orthorhombic

---

# 2
This record from the Alexandria database describes an optimized crystal structure of PrHo3Mg8. The functional is PBE.

Cell: 6.078 6.078 9.813 Å, 90.00 90.00 120.00°
Fractional positions:
Pr (0.000, 0.000, 0.000)
Ho (0.000, 0.000, 0.374)
Ho (0.667, 0.333, 0.496)
Ho (0.667, 0.333, 0.865)
Mg (0.163, 0.326, 0.682)
Mg (0.163, 0.837, 0.682)
Mg (0.333, 0.667, 0.434)
Mg (0.333, 0.667, 0.934)
Mg (0.504, 0.009, 0.186)
Mg (0.504, 0.496, 0.186)
Mg (0.674, 0.837, 0.682)
Mg (0.991, 0.496, 0.186)

Summary:
calculated volume	26.2	Å³ per atom
symmetry	No. 156
calculated formation energy	-0.071	eV/atom
size of the total moment	0.000	μB per atom
crystal system	trigonal

---

# 3
This record from the Alexandria database describes an optimized crystal structure of La4TbSm3. The functional is PBE.

Cell: 12.894 12.894 6.318 Å, 93.42 93.42 15.66°
Fractional positions:
La (0.105, 0.105, 0.237)
La (0.280, 0.280, 0.755)
La (0.720, 0.720, 0.245)
La (0.895, 0.895, 0.763)
Tb (0.500, 0.500, 0.000)
Sm (0.000, 0.000, 0.500)
Sm (0.142, 0.142, 0.746)
Sm (0.858, 0.858, 0.254)

Summary:
calculated volume	35.4	Å³ per atom
symmetry	No. 12
calculated formation energy	0.208	eV/atom
size of the total moment	0.000	μB per atom
crystal system	monoclinic
E above lowest polymorph	0.00	kcal/mol of atoms

---

# 4
This record from the Alexandria database describes an optimized crystal structure of SrAlCu3. The functional is PBE.

Cell: 6.633 6.633 5.107 Å, 90.00 90.00 125.89°
Fractional positions:
Sr (0.111, 0.889, 0.750)
Sr (0.889, 0.111, 0.250)
Al (0.500, 0.500, 0.000)
Al (0.500, 0.500, 0.500)
Cu (0.136, 0.441, 0.750)
Cu (0.306, 0.694, 0.250)
Cu (0.441, 0.136, 0.250)
Cu (0.559, 0.864, 0.750)
Cu (0.694, 0.306, 0.750)
Cu (0.864, 0.559, 0.250)

Summary:
calculated volume	18.2	Å³ per atom
symmetry	No. 63
calculated formation energy	-0.084	eV/atom
size of the total moment	0.000	μB per atom
crystal system	orthorhombic
E above lowest polymorph	0.80	kcal/mol of atoms

---

# 5
This record from the Alexandria database describes an optimized crystal structure of KTe2Ir2. The functional is PBE.

Cell: 8.040 8.040 8.040 Å, 150.15 150.15 42.72°
Fractional positions:
K (0.000, 0.000, 0.000)
Te (0.359, 0.359, 0.000)
Te (0.641, 0.641, 0.000)
Ir (0.250, 0.750, 0.500)
Ir (0.750, 0.250, 0.500)

Summary:
formation energy (no corrections)	-0.18	eV/atom
calculated volume	25.7	Å³ per atom
symmetry	No. 139
size of the total moment	0.000	μB per atom
crystal system	tetragonal
E above lowest polymorph	0.00	kcal/mol of atoms

---

# 6
This record from the Alexandria database describes an optimized crystal structure of NbB2Cl. The functional is PBE.

Cell: 4.157 4.157 4.157 Å, 60.00 60.00 60.00°
Fractional positions:
Nb (0.000, 0.000, 0.000)
B (0.250, 0.250, 0.250)
B (0.750, 0.750, 0.750)
Cl (0.500, 0.500, 0.500)

Summary:
formation energy (no corrections)	1.62	eV/atom
calculated volume	12.7	Å³ per atom
symmetry	No. 225
size of the total moment	0.000	μB per atom
crystal system	cubic
E above lowest polymorph	8.95	kcal/mol of atoms

---

# 7
This record from the Alexandria database describes an optimized crystal structure of Y2MgTlN. The functional is PBE.

Cell: 4.851 4.851 4.410 Å, 90.00 90.00 90.00°
Fractional positions:
Y (0.000, 0.500, 0.000)
Y (0.500, 0.000, 0.000)
Mg (0.000, 0.000, 0.500)
Tl (0.500, 0.500, 0.500)
N (0.000, 0.000, 0.000)

Summary:
formation energy (no corrections)	-0.81	eV/atom
calculated volume	20.8	Å³ per atom
symmetry	No. 123
size of the total moment	0.000	μB per atom
crystal system	tetragonal

---

# 8
This record from the Alexandria database describes an optimized crystal structure of CsKTi3. The functional is PBE.

Cell: 5.230 5.230 5.230 Å, 90.00 90.00 90.00°
Fractional positions:
Cs (0.000, 0.000, 0.000)
K (0.500, 0.500, 0.500)
Ti (0.000, 0.000, 0.500)
Ti (0.000, 0.500, 0.000)
Ti (0.500, 0.000, 0.000)

Summary:
calculated volume	28.6	Å³ per atom
symmetry	No. 221
calculated formation energy	2.060	eV/atom
size of the total moment	0.539	μB per atom
crystal system	cubic

---

# 9
This record from the Alexandria database describes an optimized crystal structure of CuTe2AsN. The functional is PBE.

Cell: 5.595 5.595 3.565 Å, 90.00 90.00 90.00°
Fractional positions:
Cu (0.000, 0.000, 0.000)
Te (0.000, 0.500, 0.500)
Te (0.500, 0.000, 0.500)
As (0.500, 0.500, 0.500)
N (0.500, 0.500, 0.000)

Summary:
formation energy (no corrections)	0.95	eV/atom
calculated volume	22.3	Å³ per atom
symmetry	No. 123
size of the total moment	0.000	μB per atom
crystal system	tetragonal
E above lowest polymorph	2.74	kcal/mol of atoms

---

# 10
This record from the Alexandria database describes an optimized crystal structure of Tm4PbAu. The functional is PBE.

Cell: 8.092 8.092 6.190 Å, 103.98 103.98 112.34°
Fractional positions:
Tm (0.063, 0.708, 0.924)
Tm (0.212, 0.364, 0.674)
Tm (0.292, 0.937, 0.576)
Tm (0.364, 0.212, 0.174)
Tm (0.636, 0.788, 0.826)
Tm (0.708, 0.063, 0.424)
Tm (0.788, 0.636, 0.326)
Tm (0.937, 0.292, 0.076)
Pb (0.373, 0.627, 0.250)
Pb (0.627, 0.373, 0.750)
Au (0.001, 0.999, 0.750)
Au (0.999, 0.001, 0.250)

Summary:
calculated volume	28.2	Å³ per atom
symmetry	No. 15
calculated formation energy	-0.410	eV/atom
size of the total moment	0.000	μB per atom
crystal system	monoclinic
E above lowest polymorph	1.31	kcal/mol of atoms

---

# 11
This record from the Alexandria database describes an optimized crystal structure of Tb3PrDy2. The functional is PBE.

Cell: 7.205 7.212 8.895 Å, 78.23 78.27 60.13°
Fractional positions:
Tb (0.139, 0.139, 0.164)
Tb (0.250, 0.250, 0.500)
Tb (0.361, 0.861, 0.835)
Tb (0.639, 0.139, 0.165)
Tb (0.750, 0.750, 0.500)
Tb (0.861, 0.861, 0.836)
Pr (0.250, 0.750, 0.500)
Pr (0.750, 0.250, 0.500)
Dy (0.139, 0.638, 0.165)
Dy (0.360, 0.361, 0.836)
Dy (0.640, 0.639, 0.164)
Dy (0.861, 0.362, 0.835)

Summary:
calculated volume	32.5	Å³ per atom
symmetry	No. 2
calculated formation energy	-0.002	eV/atom
size of the total moment	0.000	μB per atom
crystal system	triclinic
E above lowest polymorph	0.00	kcal/mol of atoms

---

# 12
This record from the Alexandria database describes an optimized crystal structure of Tm2MnGa4Pt3. The functional is PBE.

Cell: 3.974 3.974 11.487 Å, 90.00 90.00 90.00°
Fractional positions:
Tm (0.000, 0.500, 0.244)
Tm (0.500, 0.000, 0.756)
Mn (0.500, 0.500, 0.000)
Ga (0.000, 0.000, 0.500)
Ga (0.000, 0.500, 0.863)
Ga (0.500, 0.000, 0.137)
Ga (0.500, 0.500, 0.500)
Pt (0.000, 0.000, 0.000)
Pt (0.000, 0.500, 0.646)
Pt (0.500, 0.000, 0.354)

Summary:
calculated volume	18.1	Å³ per atom
symmetry	No. 115
calculated formation energy	-0.800	eV/atom
size of the total moment	0.281	μB per atom
crystal system	tetragonal

---

# 13
This record from the Alexandria database describes an optimized crystal structure of ErPuMnAg. The functional is PBE.

Cell: 5.084 5.084 5.084 Å, 60.00 60.00 60.00°
Fractional positions:
Er (0.000, 0.000, 0.000)
Pu (0.500, 0.500, 0.500)
Mn (0.750, 0.750, 0.750)
Ag (0.250, 0.250, 0.250)

Summary:
calculated volume	23.2	Å³ per atom
symmetry	No. 216
calculated formation energy	0.276	eV/atom
size of the total moment	2.229	μB per atom
crystal system	cubic

---

# 14
This record from the Alexandria database describes an optimized crystal structure of BaTiAs. The functional is PBE.

Cell: 9.258 9.258 4.126 Å, 90.00 90.00 90.00°
Fractional positions:
Ba (0.066, 0.695, 0.000)
Ba (0.305, 0.066, 0.500)
Ba (0.695, 0.934, 0.500)
Ba (0.934, 0.305, 0.000)
Ti (0.377, 0.404, 0.000)
Ti (0.404, 0.623, 0.500)
Ti (0.596, 0.377, 0.500)
Ti (0.623, 0.596, 0.000)
As (0.199, 0.431, 0.500)
As (0.431, 0.801, 0.000)
As (0.569, 0.199, 0.000)
As (0.801, 0.569, 0.500)

Summary:
calculated volume	29.5	Å³ per atom
symmetry	No. 84
calculated formation energy	-0.689	eV/atom
size of the total moment	0.241	μB per atom
crystal system	tetragonal

---

# 15
This record from the Alexandria database describes an optimized crystal structure of ThCuSi. The functional is PBE.

Cell: 9.004 9.004 9.004 Å, 154.38 152.91 37.63°
Fractional positions:
Th (0.000, 0.000, 0.000)
Th (0.804, 0.304, 0.500)
Cu (0.365, 0.865, 0.500)
Cu (0.627, 0.127, 0.500)
Si (0.181, 0.181, 0.000)
Si (0.443, 0.443, 0.000)

Summary:
formation energy (no corrections)	-0.09	eV/atom
calculated volume	23.9	Å³ per atom
symmetry	No. 44
size of the total moment	0.000	μB per atom
crystal system	orthorhombic

---

# 16
This record from the Alexandria database describes an optimized crystal structure of Tb8DyY2. The functional is PBE.

Cell: 9.391 9.391 5.910 Å, 106.27 106.27 122.31°
Fractional positions:
Tb (0.098, 0.340, 0.689)
Tb (0.204, 0.796, 0.000)
Tb (0.340, 0.098, 0.689)
Tb (0.436, 0.436, 0.208)
Tb (0.564, 0.564, 0.792)
Tb (0.660, 0.902, 0.311)
Tb (0.796, 0.204, 0.000)
Tb (0.902, 0.660, 0.311)
Dy (0.000, 0.000, 0.000)
Y (0.310, 0.690, 0.500)
Y (0.690, 0.310, 0.500)

Summary:
calculated volume	32.6	Å³ per atom
symmetry	No. 12
calculated formation energy	0.153	eV/atom
size of the total moment	0.000	μB per atom
crystal system	monoclinic
E above lowest polymorph	0.00	kcal/mol of atoms

---

# 17
This record from the Alexandria database describes an optimized crystal structure of Tb5SmRu4. The functional is PBE.

Cell: 7.609 7.609 6.757 Å, 90.50 90.50 37.52°
Fractional positions:
Tb (0.000, 0.000, 0.000)
Tb (0.333, 0.333, 0.496)
Tb (0.333, 0.333, 0.996)
Tb (0.667, 0.667, 0.004)
Tb (0.667, 0.667, 0.504)
Sm (0.000, 0.000, 0.500)
Ru (0.166, 0.166, 0.251)
Ru (0.499, 0.499, 0.752)
Ru (0.501, 0.501, 0.248)
Ru (0.834, 0.834, 0.749)

Summary:
calculated volume	23.8	Å³ per atom
symmetry	No. 12
calculated formation energy	-0.234	eV/atom
size of the total moment	0.000	μB per atom
crystal system	monoclinic

---

# 18
This record from the Alexandria database describes an optimized crystal structure of Pm3SmGe2. The functional is PBE.

Cell: 4.470 4.470 8.337 Å, 90.00 90.00 90.00°
Fractional positions:
Pm (0.000, 0.000, 0.000)
Pm (0.000, 0.500, 0.642)
Pm (0.500, 0.000, 0.358)
Sm (0.500, 0.500, 0.000)
Ge (0.000, 0.500, 0.277)
Ge (0.500, 0.000, 0.723)

Summary:
calculated volume	27.8	Å³ per atom
symmetry	No. 115
calculated formation energy	-0.576	eV/atom
size of the total moment	0.000	μB per atom
crystal system	tetragonal
E above lowest polymorph	0.00	kcal/mol of atoms

---

# 19
This record from the Alexandria database describes an optimized crystal structure of K2TeRuRh. The functional is PBE.

Cell: 6.204 6.204 4.923 Å, 90.00 90.00 90.00°
Fractional positions:
K (0.000, 0.500, 0.000)
K (0.500, 0.000, 0.000)
Te (0.000, 0.000, 0.500)
Ru (0.000, 0.000, 0.000)
Rh (0.500, 0.500, 0.500)

Summary:
formation energy (no corrections)	0.98	eV/atom
calculated volume	37.9	Å³ per atom
symmetry	No. 123
size of the total moment	0.588	μB per atom
crystal system	tetragonal